This record from Alexandria describes crystalline CuReIr2 at its relaxed geometry. The functional is PBE.

## Properties
E_tot (eV/atom): -8.51

a b c (Å): 9.0291 2.7309 4.6801
angles (deg): 90.00 99.78 90.00
Space group Cm (No. 8)
Symmetry-distinct sites (fractional):
1 Cu 0.0000 0.0000 0.0000 (multiplicity 2)
2 Re 0.2408 0.0000 0.7260 (multiplicity 2)
3 Ir 0.2530 0.5000 0.2199 (multiplicity 2)
4 Ir 0.4944 0.0000 0.5110 (multiplicity 2)